CdGa2WO8, optimized geometry, DFT PBE with a Hubbard U; magnetic moment = 0.12 μB per atom; final energy = -70.58 eV for the cell shown
1.0
3.315 -3.339 0.000
3.315 3.339 0.000
0.000 0.000 6.392
Cd Ga W O
1 2 1 8
Cartesian
0.000 0.000 0.000
3.315 0.000 1.644
3.315 0.000 4.748
0.000 0.000 3.196
3.315 1.980 1.821
3.315 1.980 4.571
1.984 0.000 3.196
2.181 0.000 0.000
4.449 0.000 0.000
4.645 0.000 3.196
3.315 -1.980 1.821
3.315 -1.980 4.571